{
  "formula": "MnSbMoO6",
  "functional": "PBE+U",
  "state": "relaxed",
  "cell": [[5.278, 0.000, 0.000], [-2.639, 4.571, 0.000], [0.000, 0.000, 9.309]],
  "species": ["Mn", "Mn", "Sb", "Sb", "Mo", "Mo", "O", "O", "O", "O", "O", "O", "O", "O", "O", "O", "O", "O"],
  "fractional_positions": [[0.000, 0.000, 0.000], [0.000, 0.000, 0.500], [0.667, 0.333, 0.250], [0.333, 0.667, 0.750], [0.333, 0.667, 0.250], [0.667, 0.333, 0.750], [0.645, 0.647, 0.134], [0.001, 0.355, 0.134], [0.355, 0.001, 0.634], [0.999, 0.645, 0.866], [0.353, 0.355, 0.366], [0.001, 0.647, 0.366], [0.647, 0.001, 0.866], [0.645, 0.999, 0.366], [0.999, 0.353, 0.634], [0.353, 0.999, 0.134], [0.647, 0.645, 0.634], [0.355, 0.353, 0.866]],
  "total_energy_ev_per_cell": -123.8,
  "magnetic_moment_mub_per_cell": 12.000
}